Material: KSr2TaIn
Method: DFT, GGA-PBE
State: optimized geometry

```
KSr2TaIn
1.0
5.700 0.000 0.000
0.000 5.584 0.000
0.000 0.000 5.700
Sr In K Ta
2 1 1 1
Cartesian
2.850 0.000 0.000 Sr
0.000 0.000 2.850 Sr
0.000 2.792 0.000 In
0.000 0.000 0.000 K
2.850 2.792 2.850 Ta
```

Calculated values
Formation enthalpy at 0 K ... 1.744 eV/atom
Space group ... P4/mmm, No. 123